Material: LiAl2Zn2
Method: DFT, GGA-PBE
State: optimized geometry

Summary:
- Energy relative to the lowest polymorph listed for this composition: 0.0617 eV per atom
- Calculated formation energy: -0.004 eV per atom
- Crystal system: tetragonal
- Spin magnetization: 0.0 μB per cell

extended XYZ file:
```
10
Lattice="7.861 0.000 0.000 0.000 7.861 0.000 0.000 0.000 2.745" Properties=species:S:1:pos:R:3 pbc="T T T"
Li 0.000 0.000 0.000
Li 3.930 3.930 0.000
Zn 2.612 1.319 1.372
Zn 1.319 5.249 1.372
Zn 5.249 6.542 1.372
Zn 6.542 2.612 1.372
Al 2.906 6.836 0.000
Al 4.955 1.024 0.000
Al 6.836 4.955 0.000
Al 1.024 2.906 0.000
```